Density functional theory data (meta-GGA SCAN) for Ba2SrIr at its PBEsol-relaxed geometry.

Calculated values
The total moment is 1.0 μB/f.u. The calculation puts the polymorph energy (0 for the lowest one) at 178 meV/atom. The value obtained for the calculated total energy is -43.0910 eV/atom.

a = 3.7707 Å, b = 3.7707 Å, c = 10.8415 Å
α = 90.00°, β = 90.00°, γ = 90.00°
Space group P4mm (No. 99)
Unique sites:
Ba (0.0000, 0.0000, 0.0000) [1 per cell]
Ba (0.5000, 0.5000, 0.3541) [1 per cell]
Sr (0.5000, 0.5000, 0.6664) [1 per cell]
Ir (0.0000, 0.0000, 0.5150) [1 per cell]

Density functional theory data (meta-GGA SCAN) for NbCrNi at its PBEsol-relaxed geometry.

Calculated values
The total moment is 0.0 μB/f.u. The value obtained for the calculated total energy is -22.6530 eV/atom.

a = 7.7882 Å, b = 4.7229 Å, c = 8.4972 Å
α = 90.00°, β = 90.00°, γ = 90.00°
Space group Amm2 (No. 38)
Unique sites:
Nb (0.1890, 0.0000, 0.0000) [4 per cell]
Nb (0.3103, 0.0000, 0.3279) [4 per cell]
Cr (0.2512, 0.0000, 0.6637) [4 per cell]
Cr (0.5000, 0.2491, 0.5815) [4 per cell]
Ni (0.0000, 0.0000, 0.4943) [2 per cell]
Ni (0.0000, 0.2478, 0.2462) [4 per cell]
Ni (0.5000, 0.0000, 0.8390) [2 per cell]

Across the entries above, calculated formation energy takes the values 0.03 -0.09 eV/atom, respectively.